# RbScIrSe3 | the Open Quantum Materials Database | GGA-PBE | relaxed
# **ΔE to the lowest computed polymorph**: 0.0 meV/atom
# **Mass density**: 5.76 g/cm³
data_RbScIrSe3
_space_group_name_H-M_alt 'P 1 21/m 1'
_space_group_IT_number 11
_space_group_name_Hall '-P 2yb'
_cell_length_a 8.785
_cell_length_b 3.944
_cell_length_c 10.077
_cell_angle_alpha 90.00
_cell_angle_beta 112.49
_cell_angle_gamma 90.00
loop_
_atom_site_label
_atom_site_fract_x
_atom_site_fract_y
_atom_site_fract_z
_atom_site_occupancy
Rb1 0.224 0.250 0.259 1
Sc1 0.331 0.750 0.857 1
Ir1 0.083 0.250 0.588 1
Se1 0.115 0.250 0.847 1
Se2 0.232 0.750 0.558 1
Se3 0.453 0.750 0.143 1



# RbScIrSe3 | the Open Quantum Materials Database | GGA-PBE | relaxed
# **ΔE to the lowest computed polymorph**: 23.3 meV/atom
# **Mass density**: 6.06 g/cm³
data_RbScIrSe3
_space_group_name_H-M_alt 'C m c m'
_space_group_IT_number 63
_space_group_name_Hall '-C 2c 2'
_cell_length_a 3.951
_cell_length_b 15.420
_cell_length_c 10.071
_cell_angle_alpha 90.00
_cell_angle_beta 90.00
_cell_angle_gamma 90.00
loop_
_atom_site_label
_atom_site_fract_x
_atom_site_fract_y
_atom_site_fract_z
_atom_site_occupancy
Rb1 0.000 0.240 0.250 1
Sc1 0.000 0.483 0.750 1
Ir1 0.000 0.000 0.000 1
Se1 0.000 0.083 0.750 1
Se2 0.000 0.393 0.536 1



# RbScIrSe3 | the Open Quantum Materials Database | GGA-PBE | relaxed
# **ΔE to the lowest computed polymorph**: 26.5 meV/atom
# **Mass density**: 6.12 g/cm³
data_RbScIrSe3
_space_group_name_H-M_alt 'C m c m'
_space_group_IT_number 63
_space_group_name_Hall '-C 2c 2'
_cell_length_a 3.925
_cell_length_b 15.641
_cell_length_c 9.890
_cell_angle_alpha 90.00
_cell_angle_beta 90.00
_cell_angle_gamma 90.00
loop_
_atom_site_label
_atom_site_fract_x
_atom_site_fract_y
_atom_site_fract_z
_atom_site_occupancy
Rb1 0.000 0.246 0.250 1
Sc1 0.000 0.000 0.000 1
Ir1 0.000 0.487 0.750 1
Se1 0.000 0.082 0.750 1
Se2 0.000 0.385 0.562 1



# RbIrSe2 | the Open Quantum Materials Database | GGA-PBE | relaxed
# **Calculated total energy**: -4.703 eV/atom
# **Mass density**: 6.15 g/cm³
data_RbIrSe2
_space_group_name_H-M_alt 'F d d d'
_space_group_IT_number 70
_cell_length_a 5.552
_cell_length_b 14.357
_cell_length_c 23.597
_cell_angle_alpha 90.00
_cell_angle_beta 90.00
_cell_angle_gamma 90.00
loop_
_space_group_symop_operation_xyz
'x,y,z'
'-x,-y,-z'
'-x+1/4,-y+1/4,z'
'x+1/4,y+1/4,-z'
'x,-y+1/4,-z+1/4'
'-x,y+1/4,z+1/4'
'-x+1/4,y,-z+1/4'
'x+1/4,-y,z+1/4'
'x,y+1/2,z+1/2'
'-x,-y+1/2,-z+1/2'
'-x+1/4,-y+3/4,z+1/2'
'x+1/4,y+3/4,-z+1/2'
'x,-y+3/4,-z+3/4'
'-x,y+3/4,z+3/4'
'-x+1/4,y+1/2,-z+3/4'
'x+1/4,-y+1/2,z+3/4'
'x+1/2,y,z+1/2'
'-x+1/2,-y,-z+1/2'
'-x+3/4,-y+1/4,z+1/2'
'x+3/4,y+1/4,-z+1/2'
'x+1/2,-y+1/4,-z+3/4'
'-x+1/2,y+1/4,z+3/4'
'-x+3/4,y,-z+3/4'
'x+3/4,-y,z+3/4'
'x+1/2,y+1/2,z'
'-x+1/2,-y+1/2,-z'
'-x+3/4,-y+3/4,z'
'x+3/4,y+3/4,-z'
'x+1/2,-y+3/4,-z+1/4'
'-x+1/2,y+3/4,z+1/4'
'-x+3/4,y+1/2,-z+1/4'
'x+3/4,-y+1/2,z+1/4'
loop_
_atom_site_label
_atom_site_fract_x
_atom_site_fract_y
_atom_site_fract_z
_atom_site_occupancy
Rb1 0.125 0.125 0.309 1
Ir1 0.125 0.125 0.125 1
Ir2 0.125 0.125 0.625 1
Se1 0.123 0.276 0.815 1



# RbIrSe2 | the Open Quantum Materials Database | GGA-PBE | relaxed
# **Calculated total energy**: -4.702 eV/atom
# **Mass density**: 6.15 g/cm³
data_RbIrSe2
_space_group_name_H-M_alt 'P -1'
_space_group_IT_number 2
_space_group_name_Hall '-P 1'
_cell_length_a 5.551
_cell_length_b 7.038
_cell_length_c 7.044
_cell_angle_alpha 113.46
_cell_angle_beta 101.56
_cell_angle_gamma 101.39
loop_
_atom_site_label
_atom_site_fract_x
_atom_site_fract_y
_atom_site_fract_z
_atom_site_occupancy
Rb1 0.250 0.135 0.365 1
Ir1 0.250 0.499 0.001 1
Se1 0.097 0.582 0.317 1
Se2 0.404 0.183 0.919 1



# RbSiIr | the Open Quantum Materials Database | GGA-PBE | relaxed
# **ΔE to the lowest computed polymorph**: 0.0 meV/atom
# **Mass density**: 7.15 g/cm³
data_RbSiIr
_space_group_name_H-M_alt 'F -4 3 m'
_space_group_IT_number 216
_space_group_name_Hall 'F -4 2 3'
_cell_length_a 6.572
_cell_length_b 6.572
_cell_length_c 6.572
_cell_angle_alpha 90.00
_cell_angle_beta 90.00
_cell_angle_gamma 90.00
loop_
_atom_site_label
_atom_site_fract_x
_atom_site_fract_y
_atom_site_fract_z
_atom_site_occupancy
Rb1 0.000 0.000 0.000 1
Si1 0.000 0.000 0.500 1
Ir1 0.250 0.250 0.250 1



# RbSiIr | the Open Quantum Materials Database | GGA-PBE | relaxed
# **ΔE to the lowest computed polymorph**: 1172.0 meV/atom
# **Mass density**: 6.26 g/cm³
data_RbSiIr
_space_group_name_H-M_alt 'F -4 3 m'
_space_group_IT_number 216
_space_group_name_Hall 'F -4 2 3'
_cell_length_a 6.873
_cell_length_b 6.873
_cell_length_c 6.873
_cell_angle_alpha 90.00
_cell_angle_beta 90.00
_cell_angle_gamma 90.00
loop_
_atom_site_label
_atom_site_fract_x
_atom_site_fract_y
_atom_site_fract_z
_atom_site_occupancy
Rb1 0.000 0.000 0.000 1
Si1 0.250 0.250 0.250 1
Ir1 0.250 0.250 0.750 1



# RbSiIr | the Open Quantum Materials Database | GGA-PBE | relaxed
# **ΔE to the lowest computed polymorph**: 129.0 meV/atom
# **Mass density**: 7.16 g/cm³
data_RbSiIr
_space_group_name_H-M_alt 'F -4 3 m'
_space_group_IT_number 216
_space_group_name_Hall 'F -4 2 3'
_cell_length_a 6.569
_cell_length_b 6.569
_cell_length_c 6.569
_cell_angle_alpha 90.00
_cell_angle_beta 90.00
_cell_angle_gamma 90.00
loop_
_atom_site_label
_atom_site_fract_x
_atom_site_fract_y
_atom_site_fract_z
_atom_site_occupancy
Rb1 0.000 0.000 0.000 1
Si1 0.250 0.250 0.750 1
Ir1 0.000 0.000 0.500 1



# RbSmIr | the Open Quantum Materials Database | GGA-PBE | relaxed
# **ΔE to the lowest computed polymorph**: 0.0 meV/atom
# **Mass density**: 7.84 g/cm³
data_RbSmIr
_space_group_name_H-M_alt 'F -4 3 m'
_space_group_IT_number 216
_space_group_name_Hall 'F -4 2 3'
_cell_length_a 7.132
_cell_length_b 7.132
_cell_length_c 7.132
_cell_angle_alpha 90.00
_cell_angle_beta 90.00
_cell_angle_gamma 90.00
loop_
_atom_site_label
_atom_site_fract_x
_atom_site_fract_y
_atom_site_fract_z
_atom_site_occupancy
Rb1 0.000 0.000 0.000 1
Sm1 0.000 0.000 0.500 1
Ir1 0.250 0.250 0.250 1



# RbSn5Ir3 | the Open Quantum Materials Database | GGA-PBE | relaxed
# **Calculated total energy**: -5.437 eV/atom
# **Mass density**: 8.69 g/cm³
data_RbSn5Ir3
_space_group_name_H-M_alt 'P 6/m m m'
_space_group_IT_number 191
_space_group_name_Hall '-P 6 2'
_cell_length_a 5.6076
_cell_length_b 5.6076
_cell_length_c 8.8082
_cell_angle_alpha 90.00
_cell_angle_beta 90.00
_cell_angle_gamma 120.00
loop_
_atom_site_label
_atom_site_fract_x
_atom_site_fract_y
_atom_site_fract_z
_atom_site_occupancy
Rb1 0.0000 0.0000 0.0000 1
Sn1 0.0000 0.0000 0.5000 1
Sn2 0.3333 0.6667 0.2465 1
Ir1 0.0000 0.5000 0.5000 1



# RbTaIr | the Open Quantum Materials Database | GGA-PBE | relaxed
# **ΔE to the lowest computed polymorph**: 1305.1 meV/atom
# **Mass density**: 11.30 g/cm³
data_RbTaIr
_space_group_name_H-M_alt 'F -4 3 m'
_space_group_IT_number 216
_space_group_name_Hall 'F -4 2 3'
_cell_length_a 6.460
_cell_length_b 6.460
_cell_length_c 6.460
_cell_angle_alpha 90.00
_cell_angle_beta 90.00
_cell_angle_gamma 90.00
loop_
_atom_site_label
_atom_site_fract_x
_atom_site_fract_y
_atom_site_fract_z
_atom_site_occupancy
Rb1 0.000 0.000 0.000 1
Ta1 0.250 0.250 0.250 1
Ir1 0.250 0.250 0.750 1



# RbTaIr | the Open Quantum Materials Database | GGA-PBE | relaxed
# **ΔE to the lowest computed polymorph**: 0.0 meV/atom
# **Mass density**: 10.45 g/cm³
data_RbTaIr
_space_group_name_H-M_alt 'F -4 3 m'
_space_group_IT_number 216
_space_group_name_Hall 'F -4 2 3'
_cell_length_a 6.631
_cell_length_b 6.631
_cell_length_c 6.631
_cell_angle_alpha 90.00
_cell_angle_beta 90.00
_cell_angle_gamma 90.00
loop_
_atom_site_label
_atom_site_fract_x
_atom_site_fract_y
_atom_site_fract_z
_atom_site_occupancy
Rb1 0.000 0.000 0.000 1
Ta1 0.000 0.000 0.500 1
Ir1 0.250 0.250 0.250 1



# RbTbIr | the Open Quantum Materials Database | GGA-PBE | relaxed
# **Calculated total energy**: -4.406 eV/atom
# **Mass density**: 8.22 g/cm³
data_RbTbIr
_space_group_name_H-M_alt 'F -4 3 m'
_space_group_IT_number 216
_space_group_name_Hall 'F -4 2 3'
_cell_length_a 7.067
_cell_length_b 7.067
_cell_length_c 7.067
_cell_angle_alpha 90.00
_cell_angle_beta 90.00
_cell_angle_gamma 90.00
loop_
_atom_site_label
_atom_site_fract_x
_atom_site_fract_y
_atom_site_fract_z
_atom_site_occupancy
Rb1 0.000 0.000 0.000 1
Tb1 0.000 0.000 0.500 1
Ir1 0.250 0.250 0.250 1



# RbTcIr | the Open Quantum Materials Database | GGA-PBE | relaxed
# **ΔE to the lowest computed polymorph**: 1106.1 meV/atom
# **Mass density**: 8.47 g/cm³
data_RbTcIr
_space_group_name_H-M_alt 'F -4 3 m'
_space_group_IT_number 216
_space_group_name_Hall 'F -4 2 3'
_cell_length_a 6.654
_cell_length_b 6.654
_cell_length_c 6.654
_cell_angle_alpha 90.00
_cell_angle_beta 90.00
_cell_angle_gamma 90.00
loop_
_atom_site_label
_atom_site_fract_x
_atom_site_fract_y
_atom_site_fract_z
_atom_site_occupancy
Rb1 0.000 0.000 0.000 1
Tc1 0.250 0.250 0.250 1
Ir1 0.250 0.250 0.750 1